Record 1
## AlZn2Cr (GGA-PBE)

Data for a geometry-optimized AlZn2Cr structure.

a b c (Å): 3.0523 3.5831 5.5209
angles (deg): 90.00 90.00 90.00
Space group Pmmm (No. 47)
Inequivalent atoms, fractional coordinates:
Al 0.0000 0.0000 0.0000 (multiplicity 1)
Zn 0.5000 0.5000 0.2564 (multiplicity 2)
Cr 0.0000 0.0000 0.5000 (multiplicity 1)

- D(E_F): 2.2 states/eV/f.u.
- Energy of formation: 12.3 kJ/mol of atoms


Record 2
## AlZnCr3 (GGA-PBE)

Data for a geometry-optimized AlZnCr3 structure.

a b c (Å): 4.7138 4.7138 4.7138
angles (deg): 90.00 90.00 90.00
Space group Pm-3m (No. 221)
Inequivalent atoms, fractional coordinates:
Al 0.0000 0.0000 0.0000 (multiplicity 1)
Zn 0.5000 0.5000 0.5000 (multiplicity 1)
Cr 0.0000 0.0000 0.5000 (multiplicity 3)

- D(E_F): 4.0 states/eV/f.u.
- Excess energy over the best structure of this formula in the dataset: 0 meV per atom
- Energy of formation: 128.6 kJ/mol of atoms


Record 3
## AlZn2Cr (GGA-PBE)

Data for a geometry-optimized AlZn2Cr structure.

a b c (Å): 3.6859 3.7778 8.1854
angles (deg): 90.00 90.00 90.00
Space group Cmmm (No. 65)
Inequivalent atoms, fractional coordinates:
Al 0.0000 0.0000 0.0000 (multiplicity 2)
Zn 0.0000 0.5000 0.2640 (multiplicity 4)
Cr 0.0000 0.0000 0.5000 (multiplicity 2)

- D(E_F): 3.4 states/eV/f.u.
- Energy of formation: 21.5 kJ/mol of atoms


Record 4
## AlZnCr (GGA-PBE)

Data for a geometry-optimized AlZnCr structure.

a b c (Å): 4.2279 4.2279 2.7968
angles (deg): 90.00 90.00 120.00
Space group P3m1 (No. 156)
Inequivalent atoms, fractional coordinates:
Al 0.0000 0.0000 0.0000 (multiplicity 1)
Zn 0.3333 0.6667 0.0041 (multiplicity 1)
Cr 0.6667 0.3333 0.5018 (multiplicity 1)

- D(E_F): 2.5 states/eV/f.u.
- Energy of formation: 6.4 kJ/mol of atoms


Record 5
## Al6Zn2Cr (GGA-PBE)

Data for a geometry-optimized Al6Zn2Cr structure.

a b c (Å): 13.7414 7.0438 3.1207
angles (deg): 90.00 102.79 90.00
Space group C2/m (No. 12)
Inequivalent atoms, fractional coordinates:
Al 0.0000 0.2040 0.0000 (multiplicity 4)
Al 0.1649 0.3064 0.6640 (multiplicity 8)
Zn 0.1669 0.0000 0.1666 (multiplicity 4)
Cr 0.0000 0.5000 0.5000 (multiplicity 2)

- D(E_F): 2.6 states/eV/f.u.
- Excess energy over the best structure of this formula in the dataset: 0 meV per atom
- Energy of formation: 3.4 kJ/mol of atoms


Record 6
## Al4ZnCr (GGA-PBE)

Data for a geometry-optimized Al4ZnCr structure.

a b c (Å): 4.1172 4.1172 6.3269
angles (deg): 90.00 90.00 90.00
Space group P4/mmm (No. 123)
Inequivalent atoms, fractional coordinates:
Al 0.0000 0.5000 0.2415 (multiplicity 4)
Zn 0.0000 0.0000 0.5000 (multiplicity 1)
Cr 0.5000 0.5000 0.0000 (multiplicity 1)

- D(E_F): 3.9 states/eV/f.u.
- Excess energy over the best structure of this formula in the dataset: 124 meV per atom
- Energy of formation: 14.1 kJ/mol of atoms


Record 7
## AlZnCr2 (GGA-PBE)

Data for a geometry-optimized AlZnCr2 structure.

a b c (Å): 2.6461 2.6461 25.9806
angles (deg): 90.00 90.00 120.00
Space group R-3m (No. 166, hexagonal axes)
Inequivalent atoms, fractional coordinates:
Al 0.0000 0.0000 0.0000 (multiplicity 3)
Zn 0.0000 0.0000 0.5000 (multiplicity 3)
Cr 0.0000 0.0000 0.2507 (multiplicity 6)

- D(E_F): 4.5 states/eV/f.u.
- Energy of formation: 21.2 kJ/mol of atoms


Record 8
## AlZn2Cr (GGA-PBE)

Data for a geometry-optimized AlZn2Cr structure.

a b c (Å): 3.6745 3.6745 8.2625
angles (deg): 90.00 90.00 90.00
Space group I-4m2 (No. 119)
Inequivalent atoms, fractional coordinates:
Al 0.0000 0.0000 0.0000 (multiplicity 2)
Zn 0.0000 0.0000 0.5000 (multiplicity 2)
Zn 0.0000 0.5000 0.2500 (multiplicity 2)
Cr 0.0000 0.5000 0.7500 (multiplicity 2)

- D(E_F): 2.3 states/eV/f.u.
- Energy of formation: 8.8 kJ/mol of atoms


Record 9
## Al8ZnCr2 (GGA-PBE)

Data for a geometry-optimized Al8ZnCr2 structure.

a b c (Å): 7.7987 10.1045 4.3093
angles (deg): 90.00 90.00 90.00
Space group Cmmm (No. 65)
Inequivalent atoms, fractional coordinates:
Al 0.0000 0.2379 0.0000 (multiplicity 4)
Al 0.1660 0.0000 0.0000 (multiplicity 4)
Al 0.1720 0.3602 0.5000 (multiplicity 8)
Zn 0.0000 0.5000 0.0000 (multiplicity 2)
Cr 0.0000 0.1145 0.5000 (multiplicity 4)

- D(E_F): 5.5 states/eV/f.u.
- Excess energy over the best structure of this formula in the dataset: 0 meV per atom
- Energy of formation: 1.7 kJ/mol of atoms


Record 10
## Al6Zn3Cr (GGA-PBE)

Data for a geometry-optimized Al6Zn3Cr structure.

a b c (Å): 11.4621 11.4621 8.4090
angles (deg): 90.00 90.00 120.00
Space group R-3 (No. 148, hexagonal axes)
Inequivalent atoms, fractional coordinates:
Al 0.0087 0.2305 0.0578 (multiplicity 18)
Al 0.0748 0.4860 0.1235 (multiplicity 18)
Zn 0.0180 0.1531 0.7524 (multiplicity 18)
Cr 0.0000 0.0000 0.0000 (multiplicity 3)
Cr 0.0000 0.0000 0.5000 (multiplicity 3)

- D(E_F): 4.1 states/eV/f.u.
- Energy of formation: 3.3 kJ/mol of atoms


Record 11
## AlZn2Cr (GGA-PBE)

Data for a geometry-optimized AlZn2Cr structure.

a b c (Å): 6.1906 6.1906 6.1906
angles (deg): 90.00 90.00 90.00
Space group F-43m (No. 216)
Inequivalent atoms, fractional coordinates:
Al 0.0000 0.0000 0.0000 (multiplicity 4)
Zn 0.0000 0.0000 0.5000 (multiplicity 4)
Zn 0.2500 0.2500 0.7500 (multiplicity 4)
Cr 0.2500 0.2500 0.2500 (multiplicity 4)

- D(E_F): 2.0 states/eV/f.u.
- Energy of formation: 10.9 kJ/mol of atoms


Record 12
## AlZnCr2 (GGA-PBE)

Data for a geometry-optimized AlZnCr2 structure.

a b c (Å): 8.6310 2.5518 4.7328
angles (deg): 90.00 95.10 90.00
Space group Cm (No. 8)
Inequivalent atoms, fractional coordinates:
Al 0.0000 0.0000 0.0000 (multiplicity 2)
Zn 0.2498 0.5000 0.2398 (multiplicity 2)
Cr 0.2566 0.0000 0.7279 (multiplicity 2)
Cr 0.4946 0.0000 0.5113 (multiplicity 2)

- D(E_F): 3.4 states/eV/f.u.
- Energy of formation: 13.8 kJ/mol of atoms